[1]
{
  "formula": "InCu2Pt",
  "functional": "PBE-GGA",
  "state": "relaxed",
  "cell": [[4.537, -1.477, 0.000], [4.537, 1.477, 0.000], [-1.110, 0.000, 4.563]],
  "species": ["In", "Cu", "Cu", "Pt"],
  "frac_coords": [[0.000, 0.000, 0.000], [0.495, 0.495, 0.488], [0.757, 0.757, 0.265], [0.242, 0.242, 0.735]],
  "spacegroup": "Cm",
  "ef_ev_per_atom": -0.118
}

[2]
{
  "formula": "TbNiBRh2",
  "functional": "PBE-GGA",
  "state": "relaxed",
  "cell": [[4.219, 0.000, 0.000], [0.000, 4.219, 0.000], [0.000, 0.000, 4.011]],
  "species": ["Tb", "Ni", "B", "Rh", "Rh"],
  "frac_coords": [[0.000, 0.000, 0.000], [0.500, 0.500, 0.000], [0.500, 0.500, 0.500], [0.000, 0.500, 0.500], [0.500, 0.000, 0.500]],
  "spacegroup": "P4/mmm",
  "ef_ev_per_atom": -0.722
}

[3]
{
  "formula": "ZnInTe2",
  "functional": "PBE-GGA",
  "state": "relaxed",
  "cell": [[2.391, 1.380, 8.058], [-2.391, 1.380, 8.058], [0.000, -2.761, 8.058]],
  "species": ["Zn", "In", "Te", "Te"],
  "frac_coords": [[0.000, 0.000, 0.000], [0.500, 0.500, 0.500], [0.102, 0.102, 0.102], [0.898, 0.898, 0.898]],
  "e_form_raw_ev_per_atom": -0.070,
  "spacegroup": "R-3m"
}

[4]
{
  "formula": "Pm4Sn4Hg",
  "functional": "PBE-GGA",
  "state": "relaxed",
  "cell": [[9.071, 0.000, 0.000], [0.000, 9.071, 0.000], [0.000, 0.000, 6.315]],
  "species": ["Pm", "Pm", "Pm", "Pm", "Pm", "Pm", "Pm", "Pm", "Sn", "Sn", "Sn", "Sn", "Sn", "Sn", "Sn", "Sn", "Hg", "Hg"],
  "frac_coords": [[0.063, 0.820, 0.116], [0.180, 0.563, 0.616], [0.320, 0.937, 0.616], [0.437, 0.680, 0.116], [0.563, 0.320, 0.884], [0.680, 0.063, 0.384], [0.820, 0.437, 0.384], [0.937, 0.180, 0.884], [0.036, 0.148, 0.381], [0.148, 0.464, 0.119], [0.352, 0.036, 0.119], [0.464, 0.352, 0.381], [0.536, 0.648, 0.619], [0.648, 0.964, 0.881], [0.852, 0.536, 0.881], [0.964, 0.852, 0.619], [0.250, 0.250, 0.750], [0.750, 0.750, 0.250]],
  "spacegroup": "P4_2/n",
  "ef_ev_per_atom": -0.549
}

In the order shown, the computed DOS(E_F) values come out to 0.3751 0.0728 0.5916 0.8339 states/eV/atom.